[1]
Entry from Alexandria via LeMat-Bulk: an optimized crystal structure of YTa4 (PBE).

## Properties
Space-group type = No. 166
Total energy = -10.369 eV/atom

Unit cell a=12.8102 b=12.8102 c=12.8102 alpha=13.63 beta=13.63 gamma=13.63
With the nearest neighbours (Å) after each atom.
Atoms (fractional coordinates):
Ta 0.6982 0.6982 0.6982  12 Ta 2.98-3.04
Ta 0.9053 0.9053 0.9053  9 Ta 2.98-3.04, 3 Y 3.25
Ta 0.0947 0.0947 0.0947  9 Ta 2.98-3.04, 3 Y 3.25
Ta 0.3018 0.3018 0.3018  12 Ta 2.98-3.04
Y 0.5000 0.5000 0.5000  6 Y 3.04, 6 Ta 3.25



[2]
Entry from Alexandria via LeMat-Bulk: an optimized crystal structure of Er3BiRh (PBE).

## Properties
Space-group type = No. 11
Total energy = -5.688 eV/atom

Unit cell a=4.3621 b=7.9745 c=8.4271 alpha=112.48 beta=90.00 gamma=90.00
With the nearest neighbours (Å) after each atom.
Atoms (fractional coordinates):
Er 0.2500 0.6709 0.0719  1 Rh 2.66
Er 0.7500 0.6812 0.4037  3 Rh 2.91-3.00
Er 0.7500 0.0451 0.2512  3 Rh 2.85-2.91
Er 0.7500 0.3291 0.9281  1 Rh 2.66
Er 0.2500 0.9549 0.7488  3 Rh 2.85-2.91
Er 0.2500 0.3188 0.5963  3 Rh 2.91-3.00
Rh 0.7500 0.0829 0.6081  6 Er 2.66-2.91, 2 Rh 2.83
Rh 0.2500 0.9171 0.3919  6 Er 2.66-2.91, 2 Rh 2.83
Bi 0.7500 0.6658 0.7887  8 Er 3.22-3.41
Bi 0.2500 0.3342 0.2113  8 Er 3.22-3.41



[3]
Entry from Alexandria via LeMat-Bulk: an optimized crystal structure of Ta2BeV2B4 (PBE).

## Properties
Space-group type = No. 139
Total energy = -7.764 eV/atom

Unit cell a=5.0397 b=5.0397 c=5.0397 alpha=96.33 beta=116.42 gamma=116.42
With the nearest neighbours (Å) after each atom.
Atoms (fractional coordinates):
B 0.0000 0.2455 0.7545  1 Be 1.84
B 0.5089 0.7545 0.7545  1 Be 1.84
B 0.4911 0.2455 0.2455  1 Be 1.84
B 0.0000 0.7545 0.2455  1 Be 1.84
Ta 0.5000 0.2500 0.7500  8 B 2.52, 4 V 2.70
Ta 0.5000 0.7500 0.2500  8 B 2.52, 4 V 2.70
Be 0.0000 0.0000 0.0000  4 B 1.84
V 0.0000 0.6769 0.6769  1 Be 2.17, 4 B 2.25, 1 V 2.38
V 0.0000 0.3231 0.3231  1 Be 2.17, 4 B 2.25, 1 V 2.38



[4]
Entry from Alexandria via LeMat-Bulk: an optimized crystal structure of HfBAu (PBE).

## Properties
Space-group type = No. 1
Total energy = -6.969 eV/atom

Unit cell a=3.1413 b=4.7194 c=7.3797 alpha=105.01 beta=77.85 gamma=109.43
With the nearest neighbours (Å) after each atom.
Atoms (fractional coordinates):
B 0.4514 0.2774 0.4065  2 B 1.73-1.74
B 0.8621 0.1576 0.4643  2 B 1.73-1.74
Hf 0.1562 0.7384 0.4565  6 B 2.43-2.60
Hf 0.9979 0.1012 0.1344  3 B 2.34-2.51
Au 0.6713 0.0834 0.7700  1 B 2.30
Au 0.3232 0.6044 0.9840  3 Hf 2.68-2.75, 3 Au 2.88-2.96



[5]
Entry from Alexandria via LeMat-Bulk: an optimized crystal structure of Mg2TaPt (PBE).

## Properties
Space-group type = No. 166
Total energy = -5.380 eV/atom

Unit cell a=9.7058 b=9.7058 c=9.7058 alpha=17.35 beta=17.35 gamma=17.35
With the nearest neighbours (Å) after each atom.
Atoms (fractional coordinates):
Mg 0.5075 0.5075 0.5075  3 Pt 2.75, 6 Mg 2.93
Mg 0.9925 0.9925 0.9925  3 Pt 2.75, 6 Mg 2.93
Ta 0.7500 0.7500 0.7500  6 Ta 2.93, 6 Mg 3.11
Pt 0.2500 0.2500 0.2500  6 Mg 2.75, 6 Pt 2.93



[6]
Entry from Alexandria via LeMat-Bulk: an optimized crystal structure of LaHo2ErTl4 (PBE).

## Properties
Space-group type = No. 166
Total energy = -3.854 eV/atom

Unit cell a=5.4128 b=5.4128 c=9.4432 alpha=73.35 beta=73.35 gamma=60.00
With the nearest neighbours (Å) after each atom.
Atoms (fractional coordinates):
Tl 0.8725 0.8725 0.3824  4 Ho 3.25-3.33, 3 Er 3.30, 1 La 3.41
Tl 0.3780 0.3780 0.8660  1 Er 3.26, 4 Ho 3.30-3.45, 3 La 3.35
Tl 0.6220 0.6220 0.1340  1 Er 3.26, 4 Ho 3.30-3.45, 3 La 3.35
Tl 0.1275 0.1275 0.6176  4 Ho 3.25-3.33, 3 Er 3.30, 1 La 3.41
Ho 0.2489 0.2489 0.2533  8 Tl 3.25-3.45
Ho 0.7511 0.7511 0.7467  8 Tl 3.25-3.45
Er 0.5000 0.5000 0.5000  8 Tl 3.26-3.30
La 0.0000 0.0000 0.0000  8 Tl 3.35-3.41



| no. | E_form (eV/atom) |
| --- | --- |
| 1 | 0.406 |
| 2 | -0.704 |
| 3 | 0.278 |
| 4 | -0.332 |
| 5 | -0.110 |
| 6 | -0.340 |